The following is a PBE calculation of an optimized crystal structure of BeSi2Br, from Alexandria. Values from VASP.

```
&SYSTEM
  ibrav = 0, nat = 4, ntyp = 3
/
ATOMIC_SPECIES
Br 79.90 Br.upf
Be 9.01 Be.upf
Si 28.09 Si.upf
ATOMIC_POSITIONS crystal
Br 0.7500 0.2500 0.5000
Be 0.2500 0.7500 0.5000
Si 0.0000 0.0000 0.0000
Si 0.5000 0.5000 0.0000
CELL_PARAMETERS angstrom
7.3106 0.0622 0.0000
5.6853 4.5964 0.0000
-6.4979 -2.3293 2.4084
```

Summary:
Magnetic moment (μB per formula unit): 0.00
Formation energy from raw total energies (meV per atom): 629
Energy above the most stable polymorph in this dataset (eV/f.u.): 2.32
DOS at the Fermi energy (states/eV/cell): 1.916